# CrCoO

A geometry-optimized CrCoO structure (GGA+U, the Alexandria database).

Properties
V   38 Å³ per cell
ρ   5.5 g/cm3
SG   No. 25
Size of the total moment   5.00 μB/cell
Energy relative to the lowest polymorph listed for this composition   139 kJ/mol of formula units

Unit cell a=2.799 b=2.964 c=4.619 alpha=90.00 beta=90.00 gamma=90.00
Atoms (fractional coordinates):
Cr1 0.000 0.000 0.000
Co1 0.500 0.500 0.419
O1 0.000 0.500 0.707